The following is a PBE calculation of a relaxed NaZnGe2Pd crystal, from Alexandria via LeMat-Bulk. Values from VASP.

```
&SYSTEM
  ibrav = 0, nat = 5, ntyp = 4
/
ATOMIC_SPECIES
Pd 106.42 Pd.upf
Ge 72.64 Ge.upf
Na 22.99 Na.upf
Zn 65.41 Zn.upf
ATOMIC_POSITIONS angstrom
Pd -3.276 0.388 -0.834
Ge -3.529 -1.990 0.038
Ge -1.654 0.317 -2.794
Na 0.000 0.000 0.000
Zn -1.907 -2.061 -1.922
CELL_PARAMETERS angstrom
-1.927 3.385 -1.718
0.812 -1.515 -3.895
-4.067 -3.543 2.857
```

Computed properties:
M_tot: 0.00 μB per formula unit
E_tot: -3.6331 eV per atom
Formation energy from the elements: -0.23 eV per atom

=====

The following is a PBE calculation of a relaxed Na2Zn3Ge4Pd crystal, from Alexandria via LeMat-Bulk. Values from VASP.

```
&SYSTEM
  ibrav = 0, nat = 10, ntyp = 4
/
ATOMIC_SPECIES
Ge 72.64 Ge.upf
Pd 106.42 Pd.upf
Na 22.99 Na.upf
Zn 65.41 Zn.upf
ATOMIC_POSITIONS angstrom
Ge -1.278 -1.858 -1.951
Ge 0.000 0.000 0.000
Ge 3.198 -2.727 -1.777
Ge 4.110 -5.951 0.696
Pd 3.015 -5.268 -1.516
Na 6.377 -5.252 -1.455
Na 0.932 -3.427 0.374
Zn 1.265 -1.191 -1.973
Zn 4.293 -3.410 0.435
Zn 6.044 -7.487 0.892
CELL_PARAMETERS angstrom
-2.635 -3.281 0.292
0.078 -0.436 -4.195
8.587 -6.820 0.870
```

Computed properties:
M_tot: 0.00 μB per formula unit
E_tot: -3.1273 eV per atom
Formation energy from the elements: -0.12 eV per atom

=====

The following is a PBE calculation of a relaxed Na2Zn4Ge3Pd crystal, from Alexandria via LeMat-Bulk. Values from VASP.

```
&SYSTEM
  ibrav = 0, nat = 10, ntyp = 4
/
ATOMIC_SPECIES
Na 22.99 Na.upf
Zn 65.41 Zn.upf
Ge 72.64 Ge.upf
Pd 106.42 Pd.upf
ATOMIC_POSITIONS angstrom
Na -0.580 7.282 4.413
Na -2.365 2.171 1.375
Zn 0.051 3.244 3.115
Zn -1.314 -0.987 2.433
Zn -2.996 6.209 2.672
Zn 0.000 0.000 0.000
Ge -3.358 8.527 3.417
Ge 0.413 0.926 2.370
Ge -0.816 5.220 1.677
Pd -2.130 4.233 4.110
CELL_PARAMETERS angstrom
-3.904 -0.948 1.051
1.276 -1.027 3.816
-1.631 10.440 3.354
```

Computed properties:
M_tot: 0.00 μB per formula unit
E_tot: -2.7984 eV per atom
Formation energy from the elements: -0.12 eV per atom

=====

The following is a PBE calculation of a relaxed Na2ZnGe2Pd5 crystal, from Alexandria via LeMat-Bulk. Values from VASP.

```
&SYSTEM
  ibrav = 0, nat = 20, ntyp = 4
/
ATOMIC_SPECIES
Zn 65.41 Zn.upf
Pd 106.42 Pd.upf
Ge 72.64 Ge.upf
Na 22.99 Na.upf
ATOMIC_POSITIONS angstrom
Zn 0.642 4.243 6.205
Zn 0.000 0.000 0.000
Pd 3.767 0.197 4.062
Pd 1.217 1.769 5.524
Pd -1.569 2.820 6.176
Pd -0.129 6.394 11.674
Pd 6.009 2.535 8.049
Pd -0.447 4.292 8.599
Pd 2.340 3.240 7.947
Pd -5.239 3.525 6.074
Pd -3.639 1.620 3.855
Pd 0.899 -0.334 2.449
Ge -3.209 3.977 4.671
Ge 2.029 1.793 3.150
Ge 4.494 4.510 7.739
Ge -0.744 6.693 9.260
Na -0.832 2.343 3.070
Na 2.116 6.143 9.340
Na 4.246 2.871 5.343
Na -2.961 5.616 7.068
CELL_PARAMETERS angstrom
-0.514 -2.426 1.712
8.049 2.820 6.412
-6.764 5.667 5.999
```

Computed properties:
M_tot: 0.00 μB per formula unit
E_tot: -4.3212 eV per atom
Formation energy from the elements: -0.41 eV per atom

=====

The following is a PBE calculation of a relaxed NaPmGe3 crystal, from Alexandria via LeMat-Bulk. Values from VASP.

```
&SYSTEM
  ibrav = 0, nat = 10, ntyp = 3
/
ATOMIC_SPECIES
Pm 145.00 Pm.upf
Ge 72.64 Ge.upf
Na 22.99 Na.upf
ATOMIC_POSITIONS angstrom
Pm -1.124 -1.693 -0.828
Pm -3.095 -10.793 -4.395
Ge -3.963 -7.909 -2.674
Ge -0.256 -4.577 -2.550
Ge -2.798 -9.702 -1.366
Ge -1.421 -2.784 -3.858
Ge -0.901 -0.298 -3.691
Ge -3.318 -12.188 -1.533
Na -3.324 -4.852 -2.468
Na -0.895 -7.634 -2.755
CELL_PARAMETERS angstrom
-2.913 0.797 -2.803
2.860 -0.391 -3.082
-4.166 -12.892 0.662
```

Computed properties:
M_tot: 0.00 μB per formula unit
E_tot: -4.3716 eV per atom
Formation energy from the elements: -0.39 eV per atom

=====

The following is a PBE calculation of a relaxed NaPmGe crystal, from Alexandria via LeMat-Bulk. Values from VASP.

```
&SYSTEM
  ibrav = 0, nat = 6, ntyp = 3
/
ATOMIC_SPECIES
Na 22.99 Na.upf
Ge 72.64 Ge.upf
Pm 145.00 Pm.upf
ATOMIC_POSITIONS angstrom
Na 4.232 5.157 3.850
Na 6.488 2.994 4.696
Ge 4.237 3.665 6.721
Ge 6.483 4.485 1.826
Pm 6.490 6.030 6.855
Pm 4.230 2.121 1.691
CELL_PARAMETERS angstrom
4.505 0.002 -0.005
2.251 5.378 0.500
2.263 0.818 6.904
```

Computed properties:
M_tot: 0.00 μB per formula unit
E_tot: -3.9205 eV per atom
E above lowest polymorph: 1.5 kJ/mol of atoms
Formation energy from the elements: -0.36 eV per atom

=====

The following is a PBE calculation of a relaxed NaPmGe crystal, from Alexandria via LeMat-Bulk. Values from VASP.

```
&SYSTEM
  ibrav = 0, nat = 6, ntyp = 3
/
ATOMIC_SPECIES
Ge 72.64 Ge.upf
Na 22.99 Na.upf
Pm 145.00 Pm.upf
ATOMIC_POSITIONS angstrom
Ge 5.081 2.933 2.348
Ge 5.081 2.933 5.021
Na 2.540 1.467 0.735
Na 7.621 4.400 6.634
Pm 7.621 4.400 2.766
Pm 2.540 1.467 4.603
CELL_PARAMETERS angstrom
5.081 0.000 0.000
2.540 4.400 0.000
2.540 1.467 7.369
```

Computed properties:
M_tot: 0.00 μB per formula unit
E_tot: -3.8333 eV per atom
E above lowest polymorph: 9.9 kJ/mol of atoms
Formation energy from the elements: -0.27 eV per atom

=====

The following is a PBE calculation of a relaxed NaPm4Ge4 crystal, from Alexandria via LeMat-Bulk. Values from VASP.

```
&SYSTEM
  ibrav = 0, nat = 18, ntyp = 3
/
ATOMIC_SPECIES
Na 22.99 Na.upf
Pm 145.00 Pm.upf
Ge 72.64 Ge.upf
ATOMIC_POSITIONS angstrom
Na 0.000 0.000 0.000
Na 3.040 4.463 4.463
Pm 3.878 0.751 2.719
Pm 5.242 3.712 1.745
Pm 0.838 7.182 3.712
Pm 2.202 6.208 0.751
Pm 2.202 2.719 8.176
Pm 3.878 8.176 6.208
Pm 0.838 1.745 5.215
Pm 5.242 5.215 7.182
Ge 2.142 5.578 6.798
Ge 0.898 1.115 2.334
Ge 5.182 2.334 7.812
Ge 5.182 6.593 1.115
Ge 2.142 3.348 2.129
Ge 0.898 7.812 6.593
Ge 3.938 6.798 3.348
Ge 3.938 2.129 5.578
CELL_PARAMETERS angstrom
6.080 0.000 0.000
0.000 8.927 0.000
0.000 0.000 8.927
```

Computed properties:
M_tot: 0.00 μB per formula unit
E_tot: -4.8142 eV per atom
Formation energy from the elements: -0.50 eV per atom

=====

The following is a PBE calculation of a relaxed NaPm5Ge3 crystal, from Alexandria via LeMat-Bulk. Values from VASP.

```
&SYSTEM
  ibrav = 0, nat = 18, ntyp = 3
/
ATOMIC_SPECIES
Pm 145.00 Pm.upf
Ge 72.64 Ge.upf
Na 22.99 Na.upf
ATOMIC_POSITIONS angstrom
Pm 4.760 3.150 5.456
Pm 4.760 7.759 2.526
Pm 4.760 2.916 0.000
Pm 0.000 0.000 5.321
Pm 1.587 1.458 2.526
Pm 0.000 4.608 2.660
Pm 3.173 4.608 2.660
Pm 3.173 0.000 5.321
Pm 1.587 -3.150 5.456
Pm 1.587 6.301 0.000
Ge 1.587 3.009 5.212
Ge 4.760 6.208 5.212
Ge 4.760 1.599 2.770
Ge 1.587 3.199 0.000
Ge 1.587 -1.599 2.770
Ge 4.760 6.018 0.000
Na 0.000 0.000 0.000
Na 3.173 0.000 0.000
CELL_PARAMETERS angstrom
6.347 0.000 0.000
0.000 9.217 0.000
0.000 -4.608 7.982
```

Computed properties:
M_tot: 0.00 μB per formula unit
E_tot: -4.8678 eV per atom
Formation energy from the elements: -0.54 eV per atom

=====

The following is a PBE calculation of a relaxed NaPm2Ge crystal, from Alexandria via LeMat-Bulk. Values from VASP.

```
&SYSTEM
  ibrav = 0, nat = 4, ntyp = 3
/
ATOMIC_SPECIES
Na 22.99 Na.upf
Ge 72.64 Ge.upf
Pm 145.00 Pm.upf
ATOMIC_POSITIONS angstrom
Na 2.137 2.488 2.488
Ge 2.137 0.000 0.000
Pm 0.000 0.000 2.488
Pm 0.000 2.488 0.000
CELL_PARAMETERS angstrom
4.274 0.000 0.000
0.000 4.976 0.000
0.000 0.000 4.976
```

Computed properties:
M_tot: 0.00 μB per formula unit
E_tot: -4.1032 eV per atom
Formation energy from the elements: -0.24 eV per atom

=====

The following is a PBE calculation of a relaxed NaPm4Ge3 crystal, from Alexandria via LeMat-Bulk. Values from VASP.

```
&SYSTEM
  ibrav = 0, nat = 8, ntyp = 3
/
ATOMIC_SPECIES
Pm 145.00 Pm.upf
Na 22.99 Na.upf
Ge 72.64 Ge.upf
ATOMIC_POSITIONS angstrom
Pm 0.392 -5.048 -1.507
Pm -1.792 -1.369 -2.053
Pm 2.453 -1.265 -1.298
Pm -0.269 -2.414 1.844
Na 0.000 0.000 0.000
Ge 0.661 -2.634 -3.351
Ge -2.061 -3.783 -0.209
Ge 2.184 -3.679 0.546
CELL_PARAMETERS angstrom
-3.585 -2.738 -4.106
4.906 -2.530 -2.596
-0.538 -4.828 3.689
```

Computed properties:
M_tot: 0.00 μB per formula unit
E_tot: -4.6066 eV per atom
Formation energy from the elements: -0.33 eV per atom

=====

The following is a PBE calculation of a relaxed NaPm12Ge7 crystal, from Alexandria via LeMat-Bulk. Values from VASP.

```
&SYSTEM
  ibrav = 0, nat = 20, ntyp = 3
/
ATOMIC_SPECIES
Ge 72.64 Ge.upf
Pm 145.00 Pm.upf
Na 22.99 Na.upf
ATOMIC_POSITIONS angstrom
Ge 1.632 2.171 3.258
Ge -0.581 -0.773 3.664
Ge 3.844 5.114 2.853
Ge 3.695 0.465 0.698
Ge -0.581 3.679 0.698
Ge 3.844 0.663 5.819
Ge -0.432 3.877 5.819
Pm 2.987 7.398 0.936
Pm 2.426 3.227 0.640
Pm -3.013 5.375 1.609
Pm 2.426 -0.653 3.225
Pm 0.837 4.994 3.292
Pm 0.276 -3.057 5.581
Pm -1.301 2.149 3.225
Pm 6.276 -1.034 4.907
Pm 0.837 1.114 5.877
Pm -2.738 2.317 7.188
Pm 6.001 2.024 -0.672
Pm 4.564 2.193 3.292
Na 0.000 0.000 0.000
CELL_PARAMETERS angstrom
9.291 -0.448 -0.673
-3.014 8.800 -0.673
-3.014 -4.010 7.862
```

Computed properties:
M_tot: 0.00 μB per formula unit
E_tot: -4.9861 eV per atom
Formation energy from the elements: -0.45 eV per atom